Compound: YPuMgHg
Source: Alexandria
Functional: PBE-GGA
Structure: optimized geometry Values from VASP.

Calculated values
energy relative to the elements: -1.7 kcal/mol of atoms
space-group type: F-43m
total energy: -5.75 eV/atom
M_tot: 6.27 μB per formula unit

The structure in Quantum ESPRESSO input format:
```
&SYSTEM
  ibrav = 0, nat = 4, ntyp = 4
/
ATOMIC_SPECIES
Pu 244.00 Pu.upf
Y 88.91 Y.upf
Hg 200.59 Hg.upf
Mg 24.30 Mg.upf
CELL_PARAMETERS angstrom
5.321 0.000 0.000
2.660 4.608 0.000
2.660 1.536 4.344
ATOMIC_POSITIONS angstrom
Pu 5.321 3.072 2.172
Y 0.000 0.000 0.000
Hg 7.981 4.608 3.258
Mg 2.660 1.536 1.086
```